Record 1
Entry from Alexandria: a relaxed Hf2FeReH crystal (GGA-PBE).

Unit cell a=4.5587 b=4.5587 c=3.3107 alpha=90.00 beta=90.00 gamma=90.00
With the nearest neighbours (Å) after each atom.
Element x y z (fractional)
1 Re 0.5000 0.5000 0.5000  8 Hf 2.82
2 Hf 0.0000 0.5000 0.0000  2 H 2.28
3 Hf 0.5000 0.0000 0.0000  2 H 2.28
4 Fe 0.0000 0.0000 0.5000  2 H 1.66
5 H 0.0000 0.0000 0.0000  2 Fe 1.66

electronic total energy = -9.168 eV/atom

=====

Record 2
Entry from Alexandria: a relaxed HfFe2ReH crystal (GGA-PBE).

Unit cell a=3.8569 b=3.8569 c=4.0265 alpha=90.00 beta=90.00 gamma=90.00
With the nearest neighbours (Å) after each atom.
Element x y z (fractional)
1 Re 0.0000 0.0000 0.5000  2 H 2.01
2 Hf 0.5000 0.5000 0.5000  4 Re 2.73, 8 Fe 2.79
3 Fe 0.0000 0.5000 0.0000  2 H 1.93
4 Fe 0.5000 0.0000 0.0000  2 H 1.93
5 H 0.0000 0.0000 0.0000  4 Fe 1.93, 2 Re 2.01

offset from the most stable computed form = 0.0 meV per atom

=====

Record 3
Entry from Alexandria: a relaxed HfFe2ReH crystal (GGA-PBE).

Unit cell a=4.4785 b=5.1061 c=4.4785 alpha=90.00 beta=90.00 gamma=90.00
With the nearest neighbours (Å) after each atom.
Element x y z (fractional)
1 Re 0.0000 0.0000 0.0000  4 Fe 2.24
2 Hf 0.0000 0.5000 0.0000  2 Re 2.55
3 Fe 0.0000 0.0000 0.5000  2 Re 2.24
4 Fe 0.5000 0.0000 0.0000  2 Re 2.24
5 H 0.5000 0.5000 0.5000  4 Hf 3.17, 8 Fe 3.40

offset from the most stable computed form = 1590.7 meV per atom

=====

Record 4
Entry from Alexandria: a relaxed HfFeHRh2 crystal (GGA-PBE).

Unit cell a=3.9438 b=3.9438 c=3.8670 alpha=90.00 beta=90.00 gamma=90.00
With the nearest neighbours (Å) after each atom.
Element x y z (fractional)
1 Rh 0.0000 0.5000 0.0000  2 H 1.97
2 Rh 0.5000 0.0000 0.0000  2 H 1.97
3 Hf 0.5000 0.5000 0.5000  8 Rh 2.76, 4 Fe 2.79
4 Fe 0.0000 0.0000 0.5000  2 H 1.93
5 H 0.0000 0.0000 0.0000  2 Fe 1.93, 4 Rh 1.97

offset from the most stable computed form = 0.0 meV per atom

=====

Record 5
Entry from Alexandria: a relaxed Hf2FeHRh crystal (GGA-PBE).

Unit cell a=4.4776 b=4.4776 c=3.4932 alpha=90.00 beta=90.00 gamma=90.00
With the nearest neighbours (Å) after each atom.
Element x y z (fractional)
1 Rh 0.0000 0.0000 0.5000  2 H 1.75
2 Hf 0.0000 0.5000 0.0000  2 H 2.24
3 Hf 0.5000 0.0000 0.0000  2 H 2.24
4 Fe 0.5000 0.5000 0.5000  8 Hf 2.84, 4 Rh 3.17
5 H 0.0000 0.0000 0.0000  2 Rh 1.75

offset from the most stable computed form = 116.1 meV per atom

=====

Record 6
Entry from Alexandria: a relaxed HfFeHRh2 crystal (GGA-PBE).

Unit cell a=3.9442 b=3.9442 c=4.0317 alpha=90.00 beta=90.00 gamma=90.00
With the nearest neighbours (Å) after each atom.
Element x y z (fractional)
1 Rh 0.0000 0.5000 0.0000  2 H 1.97
2 Rh 0.5000 0.0000 0.0000  2 H 1.97
3 Hf 0.0000 0.0000 0.5000  2 H 2.02
4 Fe 0.5000 0.5000 0.5000  4 Hf 2.79, 8 Rh 2.82
5 H 0.0000 0.0000 0.0000  4 Rh 1.97, 2 Hf 2.02

offset from the most stable computed form = 33.8 meV per atom